(1)
DFT (PBE) results for Pm4SiAsS2 after structural relaxation.

```
Pm4SiAsS2
1.0
4.157 0.000 0.000
0.000 7.168 -0.133
0.000 2.532 6.748
Pm Si As S
4 1 1 2
direct
0.000 0.749 0.747
0.000 0.251 0.253
0.500 0.749 0.253
0.500 0.251 0.747
0.000 0.500 0.500
0.500 0.500 0.000
0.000 0.000 0.000
0.500 0.000 0.500
```

## Properties
DOS(E_F)   1.57 states/eV/cell
Raw formation energy   -1.606 eV per atom
Calculated total energy   -6.2724 eV/atom



(2)
DFT (PBE) results for TbCeEr after structural relaxation.

```
TbCeEr
1.0
5.335 0.000 0.001
0.000 3.448 -0.002
-0.002 -1.720 9.979
Tb Ce Er
2 2 2
direct
0.347 0.038 0.496
0.847 0.952 0.327
0.847 0.786 0.994
0.347 0.204 0.829
0.347 0.375 0.174
0.847 0.615 0.650
```

## Properties
DOS(E_F)   13.84 states/eV/cell
Formation energy   0.090 eV per atom
Calculated total energy   -4.9519 eV/atom
Distance to the lowest polymorph of the same formula   2.6 kJ per mole of atoms



(3)
DFT (PBE) results for NpTiNb2 after structural relaxation.

```
NpTiNb2
1.0
2.899 0.000 0.000
1.449 2.510 0.000
1.449 0.837 10.513
Np Nb Ti
1 2 1
direct
0.000 0.000 0.000
0.244 0.244 0.268
0.756 0.756 0.732
0.500 0.500 0.500
```

## Properties
DOS(E_F)   7.37 states/eV/cell
Formation energy   0.301 eV per atom
Calculated total energy   -9.9424 eV/atom
Distance to the lowest polymorph of the same formula   9.5 kJ per mole of atoms



(4)
DFT (PBE) results for Ac3Si2Rh7 after structural relaxation.

```
Ac3Si2Rh7
1.0
-3.408 -2.584 0.538
1.265 -0.832 4.017
-7.467 10.302 2.192
Ac Si Rh
3 2 7
direct
0.500 0.500 0.000
0.500 0.680 0.359
0.500 0.320 0.641
0.000 0.875 0.749
0.000 0.125 0.251
0.000 0.414 0.829
0.000 0.782 0.563
0.000 0.000 0.000
0.000 0.586 0.171
0.500 0.085 0.170
0.500 0.915 0.830
0.000 0.218 0.437
```

## Properties
DOS(E_F)   7.26 states/eV/cell
Raw formation energy   -0.769 eV per atom
Calculated total energy   -6.9880 eV/atom



(5)
DFT (PBE) results for As2AuCSe after structural relaxation.

```
As2AuCSe
1.0
-1.315 -2.853 3.054
4.133 -0.411 1.395
-0.630 3.346 2.854
As Au C Se
2 1 1 1
direct
0.000 0.500 0.000
0.500 0.000 0.000
0.500 0.500 0.500
0.000 0.000 0.000
0.000 0.000 0.500
```

## Properties
DOS(E_F)   2.30 states/eV/cell
Raw formation energy   1.092 eV per atom
Calculated total energy   -3.9645 eV/atom
Distance to the lowest polymorph of the same formula   0.0 kJ per mole of atoms



(6)
DFT (PBE) results for BaTe2N after structural relaxation.

```
BaTe2N
1.0
5.948 -2.389 3.797
5.212 -5.223 -1.031
7.366 -0.004 -1.120
Te Ba N
2 1 1
direct
0.097 0.097 0.097
0.903 0.903 0.903
0.500 0.500 0.500
0.000 0.000 0.000
```

## Properties
DOS(E_F)   2.75 states/eV/cell
Raw formation energy   0.136 eV per atom
Calculated total energy   -3.9970 eV/atom



(7)
DFT (PBE) results for RbS after structural relaxation.

```
RbS
1.0
-5.274 -5.260 1.508
5.455 -4.888 2.027
-0.433 2.489 7.167
Rb S
4 4
direct
0.000 0.000 0.000
0.000 0.500 0.500
0.500 0.000 0.500
0.500 0.500 0.000
0.250 0.250 0.250
0.250 0.750 0.750
0.750 0.250 0.750
0.750 0.750 0.250
```

## Properties
DOS(E_F)   27.91 states/eV/cell
Raw formation energy   -0.197 eV per atom
Calculated total energy   -2.7448 eV/atom



(8)
DFT (PBE) results for TlNiRhS2 after structural relaxation.

```
TlNiRhS2
1.0
4.675 0.000 0.000
0.000 4.767 0.000
0.000 0.000 4.675
Ni Tl Rh S
1 1 1 2
direct
0.000 0.500 0.000
0.500 0.500 0.500
0.000 0.000 0.000
0.000 0.000 0.500
0.500 0.000 0.000
```

## Properties
DOS(E_F)   11.99 states/eV/cell
Raw formation energy   0.388 eV per atom
Calculated total energy   -4.3633 eV/atom